No. 1
The following is a DFT calculation (PBE) of a geometry-optimized ErHf2Sc structure.

Geometry as extended XYZ:
```
8
Lattice="-1.071 1.510 -4.129 -3.493 -3.024 -0.200 -4.652 4.849 7.947" Properties=species:S:1:pos:R:3 pbc="T T T"
Er -3.986 2.543 4.447
Er -5.231 0.793 -0.829
Hf -7.143 2.598 5.289
Hf -2.073 0.737 -1.671
Hf -5.951 4.886 3.337
Hf -3.266 -1.550 0.281
Sc -6.306 1.828 2.309
Sc -2.911 1.508 1.310
```

Summary:
SG = Pmma (51)
Uncorrected energy = -7.6146 eV/atom
Total moment = 0.00 μB/f.u.
Formation energy = 86 meV/atom
Polymorph energy (0 for the lowest one) = 0.00 eV per formula unit

No. 2
The following is a DFT calculation (PBE) of a geometry-optimized ErHfSc14 structure.

Geometry as extended XYZ:
```
16
Lattice="6.590 -0.847 0.000 -2.554 6.134 0.000 0.000 0.000 10.303" Properties=species:S:1:pos:R:3 pbc="T T T"
Sc -1.042 4.979 7.671
Sc 1.764 0.745 0.000
Sc 5.067 0.316 5.152
Sc 2.276 4.569 7.731
Sc 0.228 1.887 7.731
Sc 2.276 4.569 2.572
Sc -1.042 4.979 2.633
Sc 3.790 3.381 5.152
Sc 0.228 1.887 2.572
Sc 0.494 3.807 5.152
Sc 3.782 3.389 0.000
Sc 3.556 1.469 2.525
Sc 1.773 0.740 5.152
Sc 3.556 1.469 7.778
Hf 5.083 0.303 0.000
Er 0.498 3.804 0.000
```

Summary:
SG = Amm2 (38)
Uncorrected energy = -6.4359 eV/atom
Total moment = 0.27 μB/f.u.
Formation energy = 11 meV/atom

No. 3
The following is a DFT calculation (PBE) of a geometry-optimized Er2HfSc6 structure.

Geometry as extended XYZ:
```
9
Lattice="1.172 1.948 2.428 -2.970 -1.462 0.328 10.534 -19.103 10.246" Properties=species:S:1:pos:R:3 pbc="T T T"
Hf 0.000 0.000 0.000
Er 5.519 -13.215 7.941
Er 1.837 -6.538 4.360
Sc 5.926 -10.746 5.764
Sc -0.507 -2.288 2.081
Sc 2.223 -4.032 2.163
Sc 7.862 -17.465 10.221
Sc 8.311 -15.071 8.083
Sc 4.608 -8.357 4.482
```

Summary:
SG = P-6m2 (187)
Uncorrected energy = -6.2712 eV/atom
Total moment = 2.46 μB/f.u.
Formation energy = 70 meV/atom
Polymorph energy (0 for the lowest one) = 0.21 eV per formula unit